VASP calculation (PBE+U) on a relaxed V2CoNiO8 crystal.

Calculated values
Total moment (μB per cell): 3.01
Uncorrected energy (eV per atom): -6.480

Cell: 5.613 5.613 5.269 Å, 90.00 90.00 120.00°
Sites, in units of the cell vectors:
1 V 0.667 0.333 0.357
2 V 0.333 0.667 0.643
3 Co 0.000 0.000 0.500
4 Ni 0.000 0.000 0.000
5 O 0.848 0.152 0.273
6 O 0.848 0.695 0.273
7 O 0.305 0.152 0.273
8 O 0.695 0.848 0.727
9 O 0.333 0.667 0.336
10 O 0.667 0.333 0.664
11 O 0.152 0.848 0.727
12 O 0.152 0.305 0.727